No. 1
Density functional theory data (PBE-GGA) for a geometry-optimized CaHfCo2 structure.

Computed properties:
As for the space group: I-42d, No. 122. Its formation energy is 0.440 eV/atom.

abc: 6.9503 6.9503 5.7702
angles: 52.97 52.97 90.00
Fractional positions:
Ca1 0.5000 0.5000 0.0000
Ca2 0.2500 0.7500 0.5000
Hf1 0.0000 0.0000 0.0000
Hf2 0.7500 0.2500 0.5000
Co1 0.6528 0.1250 0.2500
Co2 0.8750 0.9028 0.7500
Co3 0.3750 0.3472 0.7500
Co4 0.0972 0.6250 0.2500

---

No. 2
Density functional theory data (PBE-GGA) for a geometry-optimized CeGaI6 structure.

Computed properties:
The formation energy without anion corrections comes out at -75 kJ/mol of atoms. As for the space group: R-3, No. 148.

abc: 7.5174 7.5173 8.0873
angles: 62.30 62.30 60.00
Fractional positions:
Ce1 0.0000 0.0000 0.0000
I1 0.2570 0.8991 0.2567
I2 0.1009 0.4127 0.7432
I3 0.4127 0.7431 0.7433
I4 0.8991 0.5873 0.2568
I5 0.5873 0.2569 0.2567
I6 0.7430 0.1009 0.7433
Ga1 0.5000 0.5000 0.5000

---

No. 3
Density functional theory data (PBE-GGA) for a geometry-optimized PrNdNiIr structure.

Computed properties:
As for the space group: F-43m, No. 216. Its formation energy is -0.410 eV/atom.

abc: 5.0041 5.0041 5.0041
angles: 60.00 60.00 60.00
Fractional positions:
Nd1 0.7500 0.7500 0.7500
Ni1 0.0000 0.0000 0.0000
Pr1 0.2500 0.2500 0.2500
Ir1 0.5000 0.5000 0.5000

---

No. 4
Density functional theory data (PBE-GGA) for a geometry-optimized Na3MnSb2Se6 structure.

Computed properties:
The formation energy without anion corrections comes out at -62 kJ/mol of atoms. As for the space group: C2/m, No. 12.

abc: 7.0185 7.0185 7.4065
angles: 99.16 99.16 120.17
Fractional positions:
Sb1 0.6657 0.3343 0.0000
Sb2 0.3343 0.6657 0.0000
Na1 0.8248 0.1752 0.5000
Na2 0.1752 0.8248 0.5000
Na3 0.5000 0.5000 0.5000
Se1 0.3829 0.0743 0.2209
Se2 0.9257 0.6171 0.7791
Se3 0.2324 0.2324 0.7810
Se4 0.0743 0.3829 0.2209
Se5 0.6171 0.9257 0.7791
Se6 0.7676 0.7676 0.2190
Mn1 0.0000 0.0000 0.0000

---

No. 5
Density functional theory data (PBE-GGA) for a geometry-optimized SrZr2Cr structure.

Computed properties:
As for the space group: I-4m2, No. 119. Its formation energy is 0.675 eV/atom.

abc: 5.2158 5.2158 5.2158
angles: 120.11 120.11 89.81
Fractional positions:
Zr1 0.0000 0.0000 0.0000
Zr2 0.2500 0.7500 0.5000
Sr1 0.7500 0.2500 0.5000
Cr1 0.5000 0.5000 0.0000

---

No. 6
Density functional theory data (PBE-GGA) for a geometry-optimized PmSm2ErSe6 structure.

Computed properties:
The formation energy without anion corrections comes out at -178 kJ/mol of atoms. As for the space group: R3, No. 146.

abc: 7.3354 7.3353 7.7975
angles: 61.93 61.93 59.99
Fractional positions:
Se1 0.9289 0.6034 0.2516
Se2 0.7122 0.1171 0.7552
Se3 0.6033 0.2162 0.2516
Se4 0.4154 0.7122 0.7552
Se5 0.1172 0.4155 0.7552
Se6 0.2162 0.9288 0.2516
Er1 0.3191 0.3191 0.0426
Pm1 0.8157 0.8157 0.5528
Sm1 0.0155 0.0155 0.9535
Sm2 0.5181 0.5180 0.4459

---

No. 7
Density functional theory data (PBE-GGA) for a geometry-optimized TlCuClF2 structure.

Computed properties:
The formation energy without anion corrections comes out at -121 kJ/mol of atoms. As for the space group: P4/mmm, No. 123.

abc: 4.2634 4.2634 4.7200
angles: 90.00 90.00 90.00
Fractional positions:
Cu1 0.0000 0.0000 0.0000
Cl1 0.0000 0.0000 0.5000
F1 0.0000 0.5000 0.0000
F2 0.5000 0.0000 0.0000
Tl1 0.5000 0.5000 0.5000

---

No. 8
Density functional theory data (PBE-GGA) for a geometry-optimized Ba4Pb6Br19 structure.

Computed properties:
The formation energy without anion corrections comes out at -130 kJ/mol of atoms. As for the space group: I23, No. 197.

abc: 11.5003 11.5003 11.5003
angles: 109.47 109.47 109.47
Fractional positions:
Pb1 0.5000 0.8595 0.3595
Pb2 0.1405 0.6405 0.5000
Pb3 0.6405 0.5000 0.1405
Pb4 0.8595 0.3595 0.5000
Pb5 0.3595 0.5000 0.8595
Pb6 0.5000 0.1405 0.6405
Br1 0.0000 0.0000 0.0000
Br2 0.6499 0.0569 0.2713
Br3 0.2922 0.0000 0.2922
Br4 0.7287 0.7856 0.3787
Br5 0.0000 0.7078 0.7078
Br6 0.9431 0.5931 0.2144
Br7 0.6213 0.4069 0.3501
Br8 0.0569 0.2713 0.6499
Br9 0.7078 0.7078 0.0000
Br10 0.2922 0.2922 0.0000
Br11 0.2144 0.9431 0.5931
Br12 0.0000 0.2922 0.2922
Br13 0.7856 0.3787 0.7287
Br14 0.7078 0.0000 0.7078
Br15 0.3787 0.7287 0.7856
Br16 0.5931 0.2144 0.9431
Br17 0.4069 0.3501 0.6213
Br18 0.2713 0.6499 0.0569
Br19 0.3501 0.6213 0.4069
Ba1 0.0000 0.0000 0.7132
Ba2 0.0000 0.7132 0.0000
Ba3 0.2868 0.2868 0.2868
Ba4 0.7132 0.0000 0.0000

---

Magnetization for the records above, in order: 0.0, 0.6, 0.0, 4.1, 1.4, 0.0, 0.2, 1.1 μB per cell
Volume for the records above, in order: 18.26, 41.74, 22.15, 24.91, 25.04, 30.50, 17.16, 40.37 A^3/atom
DFT total energy for the records above, in order: -48.81, -24.49, -25.83, -50.01, -25.70, -58.09, -18.33, -100.77 eV/cell